## Be2CoF2 (PBE+U)

Data for a geometry-optimized Be2CoF2 structure.

Values from the calculation:
**Calculated total energy**: -4.1577 eV/atom
**Polymorph energy (0 for the lowest one)**: 0 meV/atom

abc: 3.1963 3.1963 9.1823
angles: 90.00 90.00 90.00
Space group I4/mmm (No. 139)
Symmetry-distinct sites (fractional):
Be: 0.0000 0.0000 0.1258 [4 per cell]
Co: 0.0000 0.0000 0.5000 [2 per cell]
F: 0.0000 0.5000 0.2500 [4 per cell]